No. 1
VASP calculation (SCAN) on a crystal of AlFe2Ir relaxed with PBEsol.

Results
Raw total energy   -28.99 eV per atom

Geometry as CIF:
```
data_AlFe2Ir
_symmetry_space_group_name_H-M 'C m m 2'
_symmetry_Int_Tables_number 35
_symmetry_space_group_name_Hall 'C 2 -2'
_cell_length_a 2.9014
_cell_length_b 4.4213
_cell_length_c 7.9797
_cell_angle_alpha 90.00
_cell_angle_beta 90.00
_cell_angle_gamma 90.00
loop_
_atom_site_label
_atom_site_fract_x
_atom_site_fract_y
_atom_site_fract_z
_atom_site_occupancy
Al1 0.0000 0.0000 0.0000 1
Fe1 0.0000 0.0000 0.4781 1
Fe2 0.0000 0.5000 0.2445 1
Ir1 0.0000 0.5000 0.7440 1
```

***

No. 2
VASP calculation (SCAN) on a crystal of Fe2Tc relaxed with PBEsol.

Results
Raw total energy   -23.67 eV per atom
E above lowest polymorph   101 meV/atom

Geometry as CIF:
```
data_Fe2Tc
_symmetry_space_group_name_H-M 'P 63/m m c'
_symmetry_Int_Tables_number 194
_symmetry_space_group_name_Hall '-P 6c 2c'
_cell_length_a 4.5813
_cell_length_b 4.5813
_cell_length_c 14.9959
_cell_angle_alpha 90.00
_cell_angle_beta 90.00
_cell_angle_gamma 120.00
loop_
_atom_site_label
_atom_site_fract_x
_atom_site_fract_y
_atom_site_fract_z
_atom_site_occupancy
Fe1 0.0000 0.5000 0.0000 1
Fe2 0.1625 0.3251 0.2500 1
Fe3 0.3333 0.6667 0.1265 1
Tc1 0.0000 0.0000 0.0927 1
Tc2 0.3333 0.6667 0.6566 1
```

***

No. 3
VASP calculation (SCAN) on a crystal of Li2Ti3VO8 relaxed with PBEsol.

Results
Formation energy without anion corrections   -3.0168 eV per atom
Raw total energy   -11.60 eV per atom
E above lowest polymorph   11 meV/atom

Geometry as CIF:
```
data_Li2Ti3VO8
_symmetry_space_group_name_H-M 'R -3 m'
_symmetry_Int_Tables_number 166
_symmetry_space_group_name_Hall '-R 3 2"'
_cell_length_a 5.9207
_cell_length_b 5.9207
_cell_length_c 14.1994
_cell_angle_alpha 90.00
_cell_angle_beta 90.00
_cell_angle_gamma 120.00
loop_
_atom_site_label
_atom_site_fract_x
_atom_site_fract_y
_atom_site_fract_z
_atom_site_occupancy
Li1 0.0000 0.0000 0.1231 1
Ti1 0.0000 0.5000 0.0000 1
V1 0.0000 0.0000 0.5000 1
O1 0.0000 0.0000 0.2611 1
O2 0.0302 0.5151 0.2547 1
```

***

No. 4
VASP calculation (SCAN) on a crystal of Y2Ta2Al relaxed with PBEsol.

Results
Raw total energy   -38.33 eV per atom

Geometry as CIF:
```
data_Y2Ta2Al
_symmetry_space_group_name_H-M 'I 4/m m m'
_symmetry_Int_Tables_number 139
_symmetry_space_group_name_Hall '-I 4 2'
_cell_length_a 4.0559
_cell_length_b 4.0559
_cell_length_c 14.0269
_cell_angle_alpha 90.00
_cell_angle_beta 90.00
_cell_angle_gamma 90.00
loop_
_atom_site_label
_atom_site_fract_x
_atom_site_fract_y
_atom_site_fract_z
_atom_site_occupancy
Y1 0.0000 0.5000 0.2500 1
Ta1 0.0000 0.0000 0.0831 1
Al1 0.0000 0.0000 0.5000 1
```

***

| no. | spin magnetization (μB per atom) |
| --- | --- |
| 1 | 1.366 |
| 2 | 1.005 |
| 3 | 0.189 |
| 4 | 0.000 |